First-principles (PBE) data for a geometry-optimized HoPu2Hg8 structure, as listed in Alexandria via LeMat-Bulk. Values from VASP.

Output
Total moment ... 11.47 μB/cell
E_tot ... -3.3794 eV per atom
Energy relative to the elements ... -0.138 eV per atom

Cell and atoms, written as Quantum ESPRESSO input:
```
&SYSTEM
  ibrav = 0, nat = 11, ntyp = 3
/
ATOMIC_SPECIES
Hg 200.59 Hg.upf
Pu 244.00 Pu.upf
Ho 164.93 Ho.upf
CELL_PARAMETERS angstrom
4.999 0.000 -1.518
-0.956 7.104 -3.149
-0.192 -0.629 8.360
ATOMIC_POSITIONS crystal
Hg 0.000 0.706 0.000
Hg 0.362 0.561 0.725
Hg 0.151 0.150 0.301
Hg 0.849 0.850 0.699
Hg 0.362 0.164 0.725
Hg 0.000 0.294 0.000
Hg 0.638 0.836 0.275
Hg 0.638 0.439 0.275
Pu 0.795 0.295 0.590
Pu 0.205 0.705 0.410
Ho 0.500 0.000 0.000
```


First-principles (PBE) data for a geometry-optimized Ca2TeBr structure, as listed in Alexandria via LeMat-Bulk. Values from VASP.

Output
Total moment ... 0.00 μB/cell
E_tot ... -3.6483 eV per atom
Distance to the lowest polymorph of the same formula ... 0.3 kJ per mole of atoms
Energy relative to the elements, uncorrected ... -1.444 eV/atom

Cell and atoms, written as Quantum ESPRESSO input:
```
&SYSTEM
  ibrav = 0, nat = 4, ntyp = 3
/
ATOMIC_SPECIES
Ca 40.08 Ca.upf
Te 127.60 Te.upf
Br 79.90 Br.upf
CELL_PARAMETERS angstrom
4.411 0.000 0.000
0.000 4.411 0.000
0.000 0.000 6.201
ATOMIC_POSITIONS crystal
Ca 0.500 0.500 0.375
Ca 0.000 0.000 0.875
Te 0.000 0.000 0.375
Br 0.500 0.500 0.875
```


First-principles (PBE) data for a geometry-optimized LaCuNi2B structure, as listed in Alexandria via LeMat-Bulk. Values from VASP.

Output
Total moment ... 0.00 μB/cell
E_tot ... -5.6236 eV per atom
Energy relative to the elements ... -0.171 eV per atom

Cell and atoms, written as Quantum ESPRESSO input:
```
&SYSTEM
  ibrav = 0, nat = 5, ntyp = 4
/
ATOMIC_SPECIES
Ni 58.69 Ni.upf
B 10.81 B.upf
Cu 63.55 Cu.upf
La 138.91 La.upf
CELL_PARAMETERS angstrom
4.196 0.000 0.000
0.000 4.196 0.000
0.000 0.000 4.122
ATOMIC_POSITIONS crystal
Ni 0.500 0.000 0.000
Ni 0.000 0.500 0.000
B 0.000 0.000 0.000
Cu 0.000 0.000 0.500
La 0.500 0.500 0.500
```


First-principles (PBE) data for a geometry-optimized NaReGe2Sb structure, as listed in Alexandria via LeMat-Bulk. Values from VASP.

Output
Total moment ... 0.00 μB/cell
E_tot ... -5.1212 eV per atom
Energy relative to the elements, uncorrected ... 0.304 eV/atom

Cell and atoms, written as Quantum ESPRESSO input:
```
&SYSTEM
  ibrav = 0, nat = 5, ntyp = 4
/
ATOMIC_SPECIES
Ge 72.64 Ge.upf
Re 186.21 Re.upf
Sb 121.76 Sb.upf
Na 22.99 Na.upf
CELL_PARAMETERS angstrom
-1.241 3.104 3.490
-5.228 -1.554 -0.477
0.720 -3.440 3.317
ATOMIC_POSITIONS crystal
Ge 0.500 0.000 0.000
Ge 0.000 0.000 0.500
Re 0.000 0.000 0.000
Sb 0.000 0.500 0.000
Na 0.500 0.500 0.500
```


First-principles (PBE) data for a geometry-optimized LiIn12 structure, as listed in Alexandria via LeMat-Bulk. Values from VASP.

Output
Total moment ... 0.00 μB/cell
E_tot ... -2.6992 eV per atom
Energy relative to the elements ... -0.024 eV per atom

Cell and atoms, written as Quantum ESPRESSO input:
```
&SYSTEM
  ibrav = 0, nat = 13, ntyp = 2
/
ATOMIC_SPECIES
In 114.82 In.upf
Li 6.94 Li.upf
CELL_PARAMETERS angstrom
-1.183 4.527 -6.003
7.482 -0.926 1.043
-3.245 -6.771 -1.249
ATOMIC_POSITIONS crystal
In 0.690 0.875 0.185
In 0.506 0.815 0.690
In 0.815 0.310 0.125
In 0.690 0.506 0.815
In 0.494 0.185 0.310
In 0.185 0.690 0.875
In 0.815 0.690 0.506
In 0.875 0.185 0.690
In 0.185 0.310 0.494
In 0.310 0.125 0.815
In 0.125 0.815 0.310
In 0.310 0.494 0.185
Li 0.000 0.000 0.000
```


First-principles (PBE) data for a geometry-optimized Tb6Nd7Tm16 structure, as listed in Alexandria via LeMat-Bulk. Values from VASP.

Output
Total moment ... 0.00 μB/cell
E_tot ... -4.3795 eV per atom
Energy relative to the elements ... 0.196 eV per atom

Cell and atoms, written as Quantum ESPRESSO input:
```
&SYSTEM
  ibrav = 0, nat = 29, ntyp = 3
/
ATOMIC_SPECIES
Nd 144.24 Nd.upf
Tm 168.93 Tm.upf
Tb 158.93 Tb.upf
CELL_PARAMETERS angstrom
-5.615 9.242 -2.081
-8.886 2.513 5.999
0.361 8.385 7.129
ATOMIC_POSITIONS crystal
Nd 0.500 0.500 0.000
Nd 0.000 0.500 0.500
Nd 0.000 0.000 0.000
Nd 0.000 0.500 0.000
Nd 0.500 0.000 0.000
Nd 0.000 0.000 0.500
Nd 0.500 0.000 0.500
Tm 0.851 0.851 0.851
Tm 0.613 0.613 0.160
Tm 0.613 0.160 0.613
Tm 0.840 0.387 0.387
Tm 0.149 0.149 0.553
Tm 0.387 0.387 0.387
Tm 0.447 0.851 0.851
Tm 0.613 0.613 0.613
Tm 0.553 0.149 0.149
Tm 0.851 0.447 0.851
Tm 0.149 0.149 0.149
Tm 0.387 0.387 0.840
Tm 0.160 0.613 0.613
Tm 0.387 0.840 0.387
Tm 0.851 0.851 0.447
Tm 0.149 0.553 0.149
Tb 0.775 0.225 0.225
Tb 0.775 0.225 0.775
Tb 0.225 0.775 0.775
Tb 0.225 0.225 0.775
Tb 0.775 0.775 0.225
Tb 0.225 0.775 0.225
```


First-principles (PBE) data for a geometry-optimized PrPbI5 structure, as listed in Alexandria via LeMat-Bulk. Values from VASP.

Output
Total moment ... 0.00 μB/cell
E_tot ... -3.3818 eV per atom
Energy relative to the elements, uncorrected ... -1.062 eV/atom

Cell and atoms, written as Quantum ESPRESSO input:
```
&SYSTEM
  ibrav = 0, nat = 14, ntyp = 3
/
ATOMIC_SPECIES
I 126.90 I.upf
Pr 140.91 Pr.upf
Pb 207.20 Pb.upf
CELL_PARAMETERS angstrom
4.602 0.000 0.000
0.000 9.284 -0.539
0.000 -0.135 15.161
ATOMIC_POSITIONS crystal
I 0.250 0.354 0.134
I 0.750 0.925 0.684
I 0.750 0.646 0.866
I 0.750 0.620 0.293
I 0.750 0.320 0.486
I 0.250 0.680 0.514
I 0.250 0.075 0.316
I 0.750 0.145 0.927
I 0.250 0.855 0.073
I 0.250 0.380 0.707
Pr 0.250 0.411 0.348
Pr 0.750 0.589 0.652
Pb 0.750 0.094 0.135
Pb 0.250 0.906 0.865
```


First-principles (PBE) data for a geometry-optimized AcPrTmPu structure, as listed in Alexandria via LeMat-Bulk. Values from VASP.

Output
Total moment ... 7.22 μB/cell
E_tot ... -6.6507 eV per atom
Energy relative to the elements ... 0.272 eV per atom

Cell and atoms, written as Quantum ESPRESSO input:
```
&SYSTEM
  ibrav = 0, nat = 4, ntyp = 4
/
ATOMIC_SPECIES
Tm 168.93 Tm.upf
Ac 227.00 Ac.upf
Pr 140.91 Pr.upf
Pu 244.00 Pu.upf
CELL_PARAMETERS angstrom
-1.705 -0.471 5.553
-5.655 -0.607 1.270
-2.005 -5.089 2.011
ATOMIC_POSITIONS crystal
Tm 0.750 0.750 0.750
Ac 0.000 0.000 0.000
Pr 0.250 0.250 0.250
Pu 0.500 0.500 0.500
```


The highest E_tot belongs to which entry? LiIn12


total moment of number 4 (NaReGe2Sb)? 0.00 μB/cell